## A
MgPaHg2: relaxed, PBE.

Computed properties:
Its space group is P4/mmm, No. 123. For the density of states at the Fermi level, the calculation gives 4.73 states/eV/cell. As for the total magnetization: 1.10 Bohr magnetons per cell.

Cell lengths 3.290, 3.290, 8.375 Å; angles 90.00, 90.00, 90.00 degrees
Positions (direct):
Mg  0.000  0.000  0.000
Pa  0.000  0.000  0.500
Hg  0.500  0.500  0.225
Hg  0.500  0.500  0.775

***

## B
MgPaHg2: relaxed, PBE.

Computed properties:
Its space group is Fm-3m, No. 225. For the density of states at the Fermi level, the calculation gives 4.90 states/eV/cell. As for the total magnetization: 0.96 Bohr magnetons per cell.

Cell lengths 5.118, 5.118, 5.118 Å; angles 60.00, 60.00, 60.00 degrees
Positions (direct):
Mg  0.000  0.000  0.000
Pa  0.500  0.500  0.500
Hg  0.250  0.250  0.250
Hg  0.750  0.750  0.750

***

Last place for stability: B